Computed, not measured: crystalline SrCrSbO6 at its relaxed geometry at the GGA+U level of DFT.

Geometry as POSCAR:
```
SrCrSbO6
1.0
4.9729 0.0000 0.0000
0.0000 4.9729 0.0000
0.0000 0.0000 9.7931
Sb O Cr Sr
2 12 2 2
direct
0.5000 0.5000 0.8387
0.0000 0.0000 0.3387
0.7528 0.7528 0.6946
0.7317 0.7317 0.3063
0.3311 0.3311 0.0067
0.6689 0.6689 0.0067
0.2683 0.2683 0.3063
0.2317 0.7683 0.8063
0.2528 0.7472 0.1946
0.1689 0.8311 0.5067
0.2472 0.2472 0.6946
0.7472 0.2528 0.1946
0.7683 0.2317 0.8063
0.8311 0.1689 0.5067
0.0000 0.0000 0.6528
0.5000 0.5000 0.1528
0.5000 0.5000 0.4933
0.0000 0.0000 0.9933
```

Results
**Space-group type**: No. 102
**Uncorrected energy**: -6.346 eV/atom
**M_tot**: 1.0 μB/f.u.